DFT (GGA-PBE) results for a geometry-optimized PrLuCd2 structure.

Calculated values
The density comes out at 8.33 Mg/m³. The calculation puts the magnetic moment at 0.42 μB/f.u. The value obtained for the energy above the most stable polymorph in this dataset is 0.00 eV/f.u.

a b c (Å): 3.706 3.706 7.849
angles (deg): 90.00 90.00 90.00
Space group P4/mmm (No. 123)
One atom of each set of equivalent atoms:
Pr 0.000 0.000 0.000 [1 per cell]
Lu 0.000 0.000 0.500 [1 per cell]
Cd 0.500 0.500 0.275 [2 per cell]